(1)
! ZnFeSi2 PBE relaxed; values from VASP
&SYSTEM
  ibrav = 0, nat = 4, ntyp = 3
/
ATOMIC_SPECIES
Si 28.09 Si.upf
Zn 65.41 Zn.upf
Fe 55.84 Fe.upf
ATOMIC_POSITIONS angstrom
Si 0.000 0.000 0.000
Si -2.442 0.290 0.482
Zn -0.750 0.358 2.459
Fe -1.526 -2.099 0.007
CELL_PARAMETERS angstrom
-1.666 2.747 2.934
-3.217 -2.167 -1.969
0.166 -2.031 1.983
! ΔE_f (raw)   0.21 eV/atom
! Raw total energy   -19.75 eV/cell

=====

(2)
! Zn2Fe2Si PBE relaxed; values from VASP
&SYSTEM
  ibrav = 0, nat = 10, ntyp = 3
/
ATOMIC_SPECIES
Zn 65.41 Zn.upf
Si 28.09 Si.upf
Fe 55.84 Fe.upf
ATOMIC_POSITIONS angstrom
Zn 0.354 0.810 4.297
Zn -2.801 3.523 3.231
Zn -0.450 2.281 1.764
Zn -1.997 2.053 5.764
Si 0.000 0.000 0.000
Si -2.360 0.638 3.237
Fe -1.718 -0.464 5.054
Fe -4.059 1.512 4.367
Fe -0.660 -0.235 2.107
Fe -3.001 1.741 1.420
CELL_PARAMETERS angstrom
-4.693 3.129 1.045
-0.026 -1.852 5.429
2.272 3.056 1.053
! ΔE_f (raw)   -0.04 eV/atom
! Raw total energy   -50.24 eV/cell

=====

(3)
! ZnFeSi2 PBE relaxed; values from VASP
&SYSTEM
  ibrav = 0, nat = 4, ntyp = 3
/
ATOMIC_SPECIES
Si 28.09 Si.upf
Zn 65.41 Zn.upf
Fe 55.84 Fe.upf
ATOMIC_POSITIONS angstrom
Si -0.594 -5.761 4.046
Si 1.175 -2.275 -0.060
Zn -0.329 -3.192 2.242
Fe 0.841 -5.511 2.213
CELL_PARAMETERS angstrom
-0.032 -1.539 -2.196
2.672 -0.203 0.103
-0.618 -5.999 4.213
! ΔE_f (raw)   0.15 eV/atom
! Raw total energy   -19.98 eV/cell

=====

(4)
! ZnFeSi PBE relaxed; values from VASP
&SYSTEM
  ibrav = 0, nat = 3, ntyp = 3
/
ATOMIC_SPECIES
Fe 55.84 Fe.upf
Zn 65.41 Zn.upf
Si 28.09 Si.upf
ATOMIC_POSITIONS angstrom
Fe 7.486 3.658 0.000
Zn 5.071 2.478 0.000
Si 2.701 1.320 0.000
CELL_PARAMETERS angstrom
4.726 -0.001 -0.002
2.903 3.729 0.002
-3.813 -1.866 2.076
! ΔE_f (raw)   -0.10 eV/atom
! Raw total energy   -15.46 eV/cell

=====

(5)
! Zn2FeSi PBE relaxed; values from VASP
&SYSTEM
  ibrav = 0, nat = 4, ntyp = 3
/
ATOMIC_SPECIES
Fe 55.84 Fe.upf
Zn 65.41 Zn.upf
Si 28.09 Si.upf
ATOMIC_POSITIONS angstrom
Fe 1.297 1.303 2.086
Zn 0.000 0.000 0.218
Zn 0.000 0.000 3.954
Si 1.297 1.303 6.258
CELL_PARAMETERS angstrom
2.600 0.006 0.000
-0.006 2.600 0.000
0.000 0.000 8.344
! ΔE_f (raw)   0.17 eV/atom
! Raw total energy   -15.76 eV/cell

=====

(6)
! ZnFeSi2 PBE relaxed; values from VASP
&SYSTEM
  ibrav = 0, nat = 4, ntyp = 3
/
ATOMIC_SPECIES
Zn 65.41 Zn.upf
Si 28.09 Si.upf
Fe 55.84 Fe.upf
ATOMIC_POSITIONS angstrom
Zn -2.401 0.573 0.933
Si -3.974 5.735 -0.008
Si -2.307 3.329 -0.005
Fe -4.495 3.595 0.929
CELL_PARAMETERS angstrom
-2.122 -1.471 -0.711
-0.587 -0.403 2.582
-4.187 6.043 -0.009
! ΔE_f (raw)   0.00 eV/atom
! Raw total energy   -20.58 eV/cell

=====

(7)
! ZnFe6Si PBE relaxed; values from VASP
&SYSTEM
  ibrav = 0, nat = 32, ntyp = 3
/
ATOMIC_SPECIES
Fe 55.84 Fe.upf
Zn 65.41 Zn.upf
Si 28.09 Si.upf
ATOMIC_POSITIONS angstrom
Fe 2.072 0.717 1.293
Fe 0.000 0.000 7.660
Fe 4.178 3.705 3.813
Fe 4.179 3.711 8.955
Fe 2.086 5.180 3.813
Fe -0.021 2.186 6.364
Fe -0.008 4.420 0.039
Fe 2.092 5.182 8.955
Fe -0.008 4.420 5.067
Fe 2.066 0.714 8.955
Fe -0.021 2.192 1.293
Fe -0.021 2.186 8.955
Fe 2.086 5.180 1.293
Fe 2.079 2.948 2.553
Fe 4.166 1.476 5.067
Fe 0.000 0.000 2.553
Fe -0.021 2.192 3.813
Fe 2.066 0.714 6.364
Fe 4.179 3.711 6.364
Fe 4.166 1.476 0.039
Fe 2.072 0.717 3.813
Fe 2.079 2.948 7.660
Fe 2.092 5.182 6.364
Fe 4.178 3.705 1.293
Zn 2.079 2.948 5.106
Zn 2.079 2.948 10.213
Zn 4.144 1.492 7.660
Zn 0.014 4.404 7.660
Si 0.017 4.403 2.553
Si 0.000 0.000 5.116
Si 0.000 0.000 10.204
Si 4.141 1.494 2.553
CELL_PARAMETERS angstrom
6.262 -0.001 0.000
-2.104 5.898 0.000
0.000 0.000 10.213
! ΔE_f (raw)   -0.12 eV/atom
! Raw total energy   -233.73 eV/cell

=====

(8)
! ZnFeSi PBE relaxed; values from VASP
&SYSTEM
  ibrav = 0, nat = 3, ntyp = 3
/
ATOMIC_SPECIES
Fe 55.84 Fe.upf
Zn 65.41 Zn.upf
Si 28.09 Si.upf
ATOMIC_POSITIONS angstrom
Fe -6.255 -7.282 -6.708
Zn -4.497 -5.375 -3.849
Si -2.896 -3.639 -1.246
CELL_PARAMETERS angstrom
-4.238 -2.968 -3.180
-2.058 -4.359 -3.594
-1.055 -1.643 1.745
! ΔE_f (raw)   0.09 eV/atom
! Raw total energy   -14.90 eV/cell